Version A
Below is crystalline TbNdDy at its relaxed geometry, with properties calculated at the PBE-GGA level.

abc: 3.5517 5.4573 10.3511
angles: 90.00 99.89 90.00
Closest atoms and distances in Å follow each position.
Space group P2_1/m (No. 11)
Symmetry-distinct sites (fractional):
1 Tb 0.0412 0.2500 0.0815 [2 per cell]  4 Tb 3.20-3.55, 1 Nd 3.37
2 Nd 0.2070 0.2500 0.4124 [2 per cell]  1 Tb 3.37, 6 Nd 3.55-3.72, 5 Dy 3.64-3.75
3 Dy 0.3839 0.2500 0.7696 [2 per cell]  2 Dy 3.55, 6 Tb 3.59-3.64, 5 Nd 3.64-3.75

Properties
The crystal system is monoclinic.


Version B
Below is crystalline TbNdDy at its relaxed geometry, with properties calculated at the PBE-GGA level.

abc: 3.5957 3.5957 15.2507
angles: 90.00 90.00 90.00
Closest atoms and distances in Å follow each position.
Space group I4mm (No. 107)
Symmetry-distinct sites (fractional):
1 Tb 0.0000 0.0000 0.0000 [2 per cell]  4 Dy 3.56, 4 Tb 3.60, 4 Nd 3.62
2 Nd 0.0000 0.0000 0.6687 [2 per cell]  4 Nd 3.60, 4 Dy 3.61, 4 Tb 3.62
3 Dy 0.0000 0.0000 0.3366 [2 per cell]  4 Tb 3.56, 4 Dy 3.60, 4 Nd 3.61

Properties
The crystal system is tetragonal.


Version C
Below is crystalline TbNdDy at its relaxed geometry, with properties calculated at the PBE-GGA level.

abc: 5.6991 5.6991 3.4973
angles: 90.00 90.00 120.00
Closest atoms and distances in Å follow each position.
Space group P-6m2 (No. 187)
Symmetry-distinct sites (fractional):
1 Tb 0.0000 0.0000 0.0000 [1 per cell]  3 Dy 3.29, 2 Tb 3.50
2 Nd 0.3333 0.6667 0.5000 [1 per cell]  2 Nd 3.50, 6 Tb 3.73, 6 Dy 3.73
3 Dy 0.6667 0.3333 0.0000 [1 per cell]  3 Tb 3.29, 2 Dy 3.50

Properties
The crystal system is hexagonal.


Stability, descending: version B, version A, version C


Version A
Below is crystalline Tb7Nd2Dy at its relaxed geometry, with properties calculated at the PBE-GGA level.

abc: 6.2055 7.1590 8.0054
angles: 77.14 75.06 73.20
Closest atoms and distances in Å follow each position.
Space group P-1 (No. 2)
Symmetry-distinct sites (fractional):
1 Tb 0.0000 0.0000 0.0000 [1 per cell]  8 Tb 3.57-3.58, 2 Nd 3.58, 2 Dy 3.58
2 Tb 0.1997 0.7999 0.6013 [2 per cell]  7 Tb 3.57-3.60, 1 Dy 3.58, 4 Nd 3.58-3.59
3 Tb 0.3993 0.1006 0.1982 [2 per cell]  9 Tb 3.56-3.60, 1 Dy 3.57, 2 Nd 3.58-3.59
4 Tb 0.3995 0.6007 0.1982 [2 per cell]  7 Tb 3.56-3.60, 2 Dy 3.57-3.58, 3 Nd 3.58-3.60
5 Nd 0.2010 0.2993 0.6009 [2 per cell]  1 Dy 3.58, 10 Tb 3.58-3.60, 1 Nd 3.60
6 Dy 0.0000 0.5000 0.0000 [1 per cell]  10 Tb 3.57-3.58, 2 Nd 3.58

Properties
The crystal system is triclinic.


Version B
Below is crystalline Tb7Nd2Dy at its relaxed geometry, with properties calculated at the PBE-GGA level.

abc: 6.5482 28.9635 3.5127
angles: 90.00 90.00 90.00
Closest atoms and distances in Å follow each position.
Space group Cmmm (No. 65)
Symmetry-distinct sites (fractional):
1 Tb 0.0000 0.0000 0.0000 [2 per cell]  6 Tb 3.29-3.51
2 Tb 0.0000 0.3145 0.5000 [4 per cell]  6 Tb 3.48-3.51, 6 Nd 3.58-3.77
3 Tb 0.2458 0.4022 0.0000 [8 per cell]  7 Tb 3.22-3.51, 1 Nd 3.57
4 Nd 0.0000 0.2067 0.0000 [4 per cell]  2 Nd 3.51, 8 Tb 3.57-3.77
5 Dy 0.0000 0.5000 0.5000 [2 per cell]  2 Dy 3.51, 12 Tb 3.70-3.72

Properties
The crystal system is orthorhombic.


Stability, descending: version A, version B


Version A
Below is crystalline Tb7NdDy2 at its relaxed geometry, with properties calculated at the PBE-GGA level.

abc: 6.1774 7.1345 7.9773
angles: 77.06 75.04 73.28
Closest atoms and distances in Å follow each position.
Space group P-1 (No. 2)
Symmetry-distinct sites (fractional):
1 Tb 0.0000 0.0000 0.0000 [1 per cell]  8 Tb 3.56-3.58, 2 Nd 3.57, 2 Dy 3.57
2 Tb 0.1995 0.8007 0.5994 [2 per cell]  7 Tb 3.55-3.57, 4 Dy 3.56-3.57, 1 Nd 3.57
3 Tb 0.4000 0.5999 0.2011 [2 per cell]  3 Dy 3.56-3.57, 7 Tb 3.56-3.58, 2 Nd 3.57
4 Tb 0.4013 0.0989 0.2013 [2 per cell]  9 Tb 3.55-3.58, 2 Dy 3.56, 1 Nd 3.58
5 Nd 0.0000 0.5000 0.0000 [1 per cell]  10 Tb 3.57-3.58, 2 Dy 3.57
6 Dy 0.2003 0.2996 0.5993 [2 per cell]  10 Tb 3.56-3.57, 1 Dy 3.57, 1 Nd 3.57

Properties
The crystal system is triclinic.


Version B
Below is crystalline Tb7NdDy2 at its relaxed geometry, with properties calculated at the PBE-GGA level.

abc: 8.7574 16.0940 5.6342
angles: 90.00 90.00 90.00
Closest atoms and distances in Å follow each position.
Space group Cmmm (No. 65)
Symmetry-distinct sites (fractional):
1 Tb 0.0000 0.0000 0.0000 [2 per cell]  2 Dy 3.28, 4 Tb 3.38
2 Tb 0.0000 0.2811 0.5000 [4 per cell]  2 Dy 3.08
3 Tb 0.1771 0.3848 0.0000 [8 per cell]  2 Tb 3.10-3.38, 2 Dy 3.17-3.30
4 Nd 0.0000 0.5000 0.5000 [2 per cell]  10 Tb 3.52-3.71
5 Dy 0.0000 0.2036 0.0000 [4 per cell]  7 Tb 3.08-3.30

Properties
The crystal system is orthorhombic.


Stability, descending: version A, version B


Version A
Below is crystalline Tb6NdDy3 at its relaxed geometry, with properties calculated at the PBE-GGA level.

abc: 9.8435 9.8435 11.7314
angles: 90.00 90.00 120.00
Closest atoms and distances in Å follow each position.
Space group R3 (No. 146, hexagonal axes)
Symmetry-distinct sites (fractional):
1 Tb 0.0031 0.3358 0.0000 [9 per cell]  1 Nd 3.25, 2 Dy 3.43
2 Tb 0.0048 0.6673 0.4999 [9 per cell]  3 Dy 3.24-3.46
3 Nd 0.0000 0.0000 0.3342 [3 per cell]  2 Dy 2.95-2.98, 3 Tb 3.25
4 Dy 0.0000 0.0000 0.0823 [3 per cell]  1 Dy 2.91, 1 Nd 2.95
5 Dy 0.0000 0.0000 0.5879 [3 per cell]  1 Dy 2.89, 1 Nd 2.98
6 Dy 0.0000 0.0000 0.8346 [3 per cell]  2 Dy 2.89-2.91, 3 Tb 3.24

Properties
The crystal system is trigonal.


Version B
Below is crystalline Tb6NdDy3 at its relaxed geometry, with properties calculated at the PBE-GGA level.

abc: 11.0505 19.0251 6.2070
angles: 90.00 90.00 90.00
Closest atoms and distances in Å follow each position.
Space group Cmc2_1 (No. 36)
Symmetry-distinct sites (fractional):
1 Tb 0.0000 0.0446 0.0000 [4 per cell]  1 Nd 3.35, 4 Dy 3.52-3.60, 2 Tb 3.54
2 Tb 0.0000 0.2812 0.7317 [4 per cell]  4 Tb 3.21-3.42, 1 Dy 3.37, 2 Nd 3.43-3.44
3 Tb 0.1651 0.4546 0.6262 [8 per cell]  4 Dy 3.42-3.63, 6 Tb 3.42-3.83
4 Tb 0.2462 0.2899 0.4583 [8 per cell]  5 Tb 3.21-3.46, 2 Nd 3.28-3.48, 2 Dy 3.29-3.56
5 Nd 0.0000 0.2040 0.2303 [4 per cell]  7 Tb 3.28-3.48, 3 Dy 3.28-3.54
6 Dy 0.0000 0.3889 0.1623 [4 per cell]  5 Tb 3.37-3.63, 1 Nd 3.54, 2 Dy 3.69
7 Dy 0.1722 0.1104 0.5502 [8 per cell]  1 Nd 3.28, 6 Tb 3.29-3.60

Properties
The crystal system is orthorhombic.


Stability, descending: version B, version A


Version A
Below is crystalline Tb7NdDy12 at its relaxed geometry, with properties calculated at the PBE-GGA level.

abc: 12.8282 12.8282 13.6504
angles: 90.00 90.00 120.00
Closest atoms and distances in Å follow each position.
Space group R-3 (No. 148, hexagonal axes)
Symmetry-distinct sites (fractional):
1 Tb 0.0000 0.0000 0.0000 [3 per cell]  6 Dy 3.08
2 Tb 0.0682 0.8666 0.3491 [18 per cell]  2 Dy 3.06-3.37, 1 Nd 3.07, 1 Tb 3.07
3 Nd 0.0000 0.0000 0.5000 [3 per cell]  6 Tb 3.07
4 Dy 0.0028 0.4362 0.7481 [18 per cell]  3 Dy 3.34-3.55, 3 Tb 3.37-3.58
5 Dy 0.0682 0.1997 0.8460 [18 per cell]  2 Tb 3.06-3.08, 2 Dy 3.10-3.34

Properties
The crystal system is trigonal.


Version B
Below is crystalline Tb7NdDy12 at its relaxed geometry, with properties calculated at the PBE-GGA level.

abc: 11.2598 11.2598 11.2598
angles: 90.00 90.00 90.00
Closest atoms and distances in Å follow each position.
Space group Im-3m (No. 229)
Symmetry-distinct sites (fractional):
1 Tb 0.0000 0.0000 0.5000 [6 per cell]  12 Dy 3.93-3.98
2 Tb 0.2500 0.2500 0.2500 [8 per cell]  6 Dy 2.82
3 Nd 0.0000 0.0000 0.0000 [2 per cell]  12 Dy 4.04
4 Dy 0.0000 0.2535 0.2535 [24 per cell]  2 Tb 2.82

Properties
The crystal system is cubic.


Stability, descending: version A, version B


Version A
Below is crystalline Tb3Nd7Dy2 at its relaxed geometry, with properties calculated at the PBE-GGA level.

abc: 6.2853 5.5795 12.3397
angles: 90.00 90.93 90.00
Closest atoms and distances in Å follow each position.
Space group P2/m (No. 10)
Symmetry-distinct sites (fractional):
1 Tb 0.0000 0.0000 0.0000 [1 per cell]  6 Nd 3.35-3.62, 2 Dy 3.49
2 Tb 0.4339 0.5000 0.3417 [2 per cell]  2 Dy 3.51, 6 Nd 3.62-3.77
3 Nd 0.0567 0.5000 0.8156 [2 per cell]  2 Dy 3.21, 3 Nd 3.57
4 Nd 0.2561 0.0000 0.5471 [2 per cell]  2 Dy 3.22-3.42, 3 Nd 3.30-3.60
5 Nd 0.4100 0.0000 0.8295 [2 per cell]  2 Dy 3.27-3.55, 3 Tb 3.35-3.64, 5 Nd 3.53-3.60
6 Nd 0.5000 0.5000 0.0000 [1 per cell]  6 Nd 3.53-3.57
7 Dy 0.1181 0.0000 0.2777 [2 per cell]  6 Nd 3.21-3.55, 3 Tb 3.49-3.51

Properties
The crystal system is monoclinic.


Version B
Below is crystalline Tb3Nd7Dy2 at its relaxed geometry, with properties calculated at the PBE-GGA level.

abc: 5.5350 32.4437 4.7123
angles: 90.00 90.00 90.00
Closest atoms and distances in Å follow each position.
Space group Cmmm (No. 65)
Symmetry-distinct sites (fractional):
1 Tb 0.0000 0.0000 0.0000 [2 per cell]  12 Nd 3.57-3.79
2 Tb 0.0000 0.1581 0.0000 [4 per cell]  6 Nd 3.39-3.76, 4 Dy 3.63
3 Nd 0.0000 0.0828 0.5000 [4 per cell]  4 Tb 3.39-3.57, 4 Nd 3.64, 2 Dy 3.72
4 Nd 0.0000 0.2355 0.5000 [4 per cell]  2 Nd 2.92
5 Nd 0.0000 0.4203 0.0000 [4 per cell]  6 Nd 3.50-3.64, 2 Dy 3.50, 4 Tb 3.76-3.79
6 Nd 0.0000 0.5000 0.5000 [2 per cell]  8 Nd 3.50-3.86, 4 Tb 3.63
7 Dy 0.0000 0.3405 0.5000 [4 per cell]  7 Nd 3.41-3.72, 4 Tb 3.63

Properties
The crystal system is orthorhombic.


Stability, descending: version B, version A


Version A
Below is crystalline Tb4Nd6Dy at its relaxed geometry, with properties calculated at the PBE-GGA level.

abc: 6.6086 6.6086 17.5682
angles: 90.00 90.00 90.00
Closest atoms and distances in Å follow each position.
Space group I-42m (No. 121)
Symmetry-distinct sites (fractional):
1 Tb 0.1859 0.1859 0.3249 [8 per cell]  5 Nd 3.34-3.54, 1 Tb 3.47, 1 Dy 3.53
2 Nd 0.0000 0.5000 0.0000 [4 per cell]  2 Dy 3.30, 4 Nd 3.39
3 Nd 0.1789 0.1789 0.1347 [8 per cell]  5 Tb 3.34-3.54, 3 Nd 3.34-3.39
4 Dy 0.0000 0.0000 0.5000 [2 per cell]  4 Nd 3.30, 4 Tb 3.53

Properties
The crystal system is tetragonal.


Version B
Below is crystalline Tb4Nd6Dy at its relaxed geometry, with properties calculated at the PBE-GGA level.

abc: 6.7691 6.7691 16.8011
angles: 90.00 90.00 90.00
Closest atoms and distances in Å follow each position.
Space group I-42m (No. 121)
Symmetry-distinct sites (fractional):
1 Tb 0.1767 0.1767 0.3800 [8 per cell]  5 Nd 3.21-3.54, 1 Tb 3.38
2 Nd 0.0000 0.5000 0.0000 [4 per cell]  4 Tb 3.21, 2 Dy 3.38
3 Nd 0.1905 0.1905 0.1771 [8 per cell]  5 Tb 3.41-3.72, 1 Dy 3.49, 1 Nd 3.65
4 Dy 0.0000 0.0000 0.0000 [2 per cell]  8 Nd 3.38-3.49, 4 Tb 3.69

Properties
The crystal system is tetragonal.


Stability, descending: version A, version B


Version A
Below is crystalline TbNdDy5 at its relaxed geometry, with properties calculated at the PBE-GGA level.

abc: 5.7763 8.6284 11.9080
angles: 90.00 90.00 90.00
Closest atoms and distances in Å follow each position.
Space group Immm (No. 71)
Symmetry-distinct sites (fractional):
1 Tb 0.0000 0.0000 0.0000 [2 per cell]  6 Dy 3.03-3.27
2 Nd 0.0000 0.0000 0.5000 [2 per cell]  6 Dy 2.78-2.92
3 Dy 0.0000 0.0000 0.2545 [4 per cell]  1 Nd 2.92, 1 Tb 3.03
4 Dy 0.0000 0.3223 0.5000 [4 per cell]  1 Nd 2.78, 1 Dy 3.07
5 Dy 0.0000 0.5000 0.0000 [2 per cell]  2 Nd 2.89

Properties
The crystal system is orthorhombic.


Version B
Below is crystalline TbNdDy5 at its relaxed geometry, with properties calculated at the PBE-GGA level.

abc: 11.7228 6.7766 12.1964
angles: 90.00 110.20 90.00
Closest atoms and distances in Å follow each position.
Space group C2/c (No. 15)
Symmetry-distinct sites (fractional):
1 Tb 0.2500 0.2500 0.0000 [4 per cell]  4 Dy 3.26-3.59
2 Nd 0.0000 0.0291 0.2500 [4 per cell]  3 Dy 2.98-3.30
3 Dy 0.0000 0.4102 0.7500 [4 per cell]  1 Nd 2.98, 2 Dy 2.99
4 Dy 0.0786 0.2694 0.5000 [8 per cell]  1 Nd 3.30, 4 Dy 3.30-3.63
5 Dy 0.2194 0.3661 0.2477 [8 per cell]  2 Dy 2.99-3.30, 1 Tb 3.26

Properties
The crystal system is monoclinic.


Stability, descending: version B, version A


Version A
Below is crystalline Tb4NdDy at its relaxed geometry, with properties calculated at the PBE-GGA level.

abc: 9.3452 9.3452 9.3452
angles: 90.00 90.00 90.00
Closest atoms and distances in Å follow each position.
Space group F-43m (No. 216)
Symmetry-distinct sites (fractional):
1 Tb 0.1253 0.1253 0.1253 [16 per cell]  6 Tb 3.30-3.31
2 Nd 0.2500 0.2500 0.7500 [4 per cell]  12 Tb 3.88, 4 Dy 4.05
3 Dy 0.0000 0.0000 0.5000 [4 per cell]  12 Tb 3.87, 4 Nd 4.05

Properties
The crystal system is cubic.


Version B
Below is crystalline Tb4NdDy at its relaxed geometry, with properties calculated at the PBE-GGA level.

abc: 6.7426 12.0750 9.7647
angles: 90.00 90.00 90.00
Closest atoms and distances in Å follow each position.
Space group Cmcm (No. 63)
Symmetry-distinct sites (fractional):
1 Tb 0.0000 0.1542 0.0703 [8 per cell]  7 Tb 3.51-3.92, 3 Nd 3.73-3.81, 2 Dy 3.91
2 Tb 0.2405 0.1031 0.7500 [8 per cell]  1 Nd 3.10, 1 Tb 3.24, 2 Dy 3.25
3 Nd 0.0000 0.3224 0.7500 [4 per cell]  2 Tb 3.10, 2 Dy 3.25
4 Dy 0.0000 0.5000 0.0000 [4 per cell]  2 Nd 3.25, 4 Tb 3.25

Properties
The crystal system is orthorhombic.


Stability, descending: version B, version A


Version A
Below is crystalline Tb2Nd5Dy at its relaxed geometry, with properties calculated at the PBE-GGA level.

abc: 14.6484 12.1635 6.7377
angles: 90.00 113.90 90.00
Closest atoms and distances in Å follow each position.
Space group C2/c (No. 15)
Symmetry-distinct sites (fractional):
1 Tb 0.0000 0.0000 0.0000 [4 per cell]  2 Tb 3.37, 6 Nd 3.40-3.70
2 Tb 0.2500 0.2500 0.0000 [4 per cell]  8 Nd 3.36-3.72
3 Nd 0.0000 0.2424 0.7500 [4 per cell]  1 Dy 3.27, 4 Tb 3.36-3.40, 2 Nd 3.62
4 Nd 0.1266 0.2394 0.3862 [8 per cell]  5 Nd 3.32-3.70, 1 Dy 3.48, 1 Tb 3.70
5 Nd 0.2380 0.4877 0.7099 [8 per cell]  4 Nd 3.38-3.70, 3 Tb 3.45-3.53, 2 Dy 3.61-3.62
6 Dy 0.0000 0.4886 0.2500 [4 per cell]  7 Nd 3.27-3.62, 2 Dy 3.38

Properties
The crystal system is monoclinic.


Version B
Below is crystalline Tb2Nd5Dy at its relaxed geometry, with properties calculated at the PBE-GGA level.

abc: 7.2626 14.5339 5.1405
angles: 90.00 90.00 90.00
Closest atoms and distances in Å follow each position.
Space group Pbam (No. 55)
Symmetry-distinct sites (fractional):
1 Tb 0.2496 0.1239 0.0000 [4 per cell]  10 Nd 3.61-3.66, 2 Dy 3.63
2 Nd 0.0000 0.0000 0.5000 [2 per cell]  4 Tb 3.62, 2 Dy 3.63, 6 Nd 3.63-3.65
3 Nd 0.0012 0.7488 0.5000 [4 per cell]  1 Dy 3.62, 7 Nd 3.63-3.65, 4 Tb 3.63-3.65
4 Nd 0.2482 0.3758 0.0000 [4 per cell]  4 Tb 3.61-3.66, 2 Dy 3.62, 6 Nd 3.63-3.65
5 Dy 0.0000 0.5000 0.5000 [2 per cell]  8 Nd 3.62-3.63, 4 Tb 3.63

Properties
The crystal system is orthorhombic.


Stability, descending: version B, version A